[1]
# CdTcTe3, relaxed, DFT PBEsol
data_CdTcTe3
_symmetry_space_group_name_H-M 'P 1'
_symmetry_Int_Tables_number 1
_cell_length_a 5.4370
_cell_length_b 5.4370
_cell_length_c 5.4370
_cell_angle_alpha 90.00
_cell_angle_beta 90.00
_cell_angle_gamma 90.00
loop_
_symmetry_equiv_pos_as_xyz
'x,y,z'
loop_
_atom_site_label
_atom_site_fract_x
_atom_site_fract_y
_atom_site_fract_z
_atom_site_occupancy
Te1 0.0000 0.5000 0.0000 1
Te2 0.5000 0.0000 0.0000 1
Te3 0.0000 0.0000 0.5000 1
Cd1 0.0000 0.0000 0.0000 1
Tc1 0.5000 0.5000 0.5000 1
# **Uncorrected formation energy**: 133.9 kJ per mole of atoms

---

[2]
# MoIr2RuF, relaxed, DFT PBEsol
data_MoIr2RuF
_symmetry_space_group_name_H-M 'P 1'
_symmetry_Int_Tables_number 1
_cell_length_a 3.9548
_cell_length_b 4.2307
_cell_length_c 4.2307
_cell_angle_alpha 90.00
_cell_angle_beta 90.00
_cell_angle_gamma 90.00
loop_
_symmetry_equiv_pos_as_xyz
'x,y,z'
loop_
_atom_site_label
_atom_site_fract_x
_atom_site_fract_y
_atom_site_fract_z
_atom_site_occupancy
Ir1 0.0000 0.0000 0.5000 1
Ir2 0.0000 0.5000 0.0000 1
F1 0.0000 0.0000 0.0000 1
Mo1 0.5000 0.5000 0.5000 1
Ru1 0.5000 0.0000 0.0000 1
# **E above lowest polymorph**: 0 meV per atom
# **Uncorrected formation energy**: 113.2 kJ per mole of atoms

---

[3]
# Nb3B2, relaxed, DFT PBEsol
data_Nb3B2
_symmetry_space_group_name_H-M 'P 1'
_symmetry_Int_Tables_number 1
_cell_length_a 3.2811
_cell_length_b 6.1887
_cell_length_c 6.1887
_cell_angle_alpha 90.00
_cell_angle_beta 90.00
_cell_angle_gamma 90.00
loop_
_symmetry_equiv_pos_as_xyz
'x,y,z'
loop_
_atom_site_label
_atom_site_fract_x
_atom_site_fract_y
_atom_site_fract_z
_atom_site_occupancy
Nb1 0.5000 0.6783 0.1783 1
Nb2 0.5000 0.8217 0.6783 1
Nb3 0.0000 0.0000 0.0000 1
Nb4 0.5000 0.3217 0.8217 1
Nb5 0.5000 0.1783 0.3217 1
Nb6 0.0000 0.5000 0.5000 1
B1 0.0000 0.8942 0.3942 1
B2 0.0000 0.1058 0.6058 1
B3 0.0000 0.6058 0.8942 1
B4 0.0000 0.3942 0.1058 1
# **ΔH_f (0 K)**: -0.68 eV/atom

---

[4]
# Ta3Mo13, relaxed, DFT PBEsol
data_Ta3Mo13
_symmetry_space_group_name_H-M 'P 1'
_symmetry_Int_Tables_number 1
_cell_length_a 6.2982
_cell_length_b 6.3040
_cell_length_c 6.3040
_cell_angle_alpha 89.85
_cell_angle_beta 90.00
_cell_angle_gamma 90.00
loop_
_symmetry_equiv_pos_as_xyz
'x,y,z'
loop_
_atom_site_label
_atom_site_fract_x
_atom_site_fract_y
_atom_site_fract_z
_atom_site_occupancy
Mo1 0.2512 0.5010 0.9991 1
Mo2 0.5000 0.7467 0.7467 1
Mo3 0.2515 0.5019 0.5019 1
Mo4 0.7488 0.9991 0.5010 1
Mo5 0.0000 0.7470 0.7470 1
Mo6 0.0000 0.7482 0.2521 1
Mo7 0.7488 0.5010 0.9991 1
Mo8 0.7485 0.5019 0.5019 1
Mo9 0.0000 0.2521 0.7482 1
Mo10 0.5000 0.7470 0.2524 1
Mo11 0.5000 0.2521 0.2521 1
Mo12 0.5000 0.2524 0.7470 1
Mo13 0.2512 0.9991 0.5010 1
Ta1 0.0000 0.2544 0.2544 1
Ta2 0.7484 0.9981 0.9981 1
Ta3 0.2516 0.9981 0.9981 1
# **ΔH_f (0 K)**: -0.08 eV/atom

---

We obtain energy values of -3.220, -7.529, -9.982, -11.998 eV per atom for the records listed above, in that order.